(1)
Material: Pr2BiSb3
Method: DFT, GGA-PBE
State: relaxed

Unit cell a=7.9273 b=7.9273 c=7.9273 alpha=146.63 beta=131.91 gamma=59.80
Sites, in units of the cell vectors:
Pr (0.1676, 0.1676, 0.0000)
Pr (0.8324, 0.8324, 0.0000)
Bi (0.5000, 0.5000, 0.0000)
Sb (0.0000, 0.5000, 0.5000)
Sb (0.3346, 0.8346, 0.5000)
Sb (0.6654, 0.1654, 0.5000)

Calculated values
Its formation energy from raw total energies is -0.690 eV/atom. The size of the total moment is 0.00 Bohr magnetons per cell. The value obtained for the calculated total energy is -29.9 eV/cell.

(2)
Material: EuHoErTm
Method: DFT, GGA-PBE
State: relaxed

Unit cell a=5.6874 b=5.6874 c=5.6874 alpha=60.00 beta=60.00 gamma=60.00
Sites, in units of the cell vectors:
Eu (0.0000, 0.0000, 0.0000)
Ho (0.5000, 0.5000, 0.5000)
Er (0.7500, 0.7500, 0.7500)
Tm (0.2500, 0.2500, 0.2500)

Calculated values
The value obtained for the formation energy is 0.17 eV/atom. The size of the total moment is 7.80 Bohr magnetons per cell. The value obtained for the calculated total energy is -23.2 eV/cell.